1.
A plane-wave DFT calculation with GGA-PBE was carried out for crystalline CaAcAl2 at its relaxed geometry.

a b c (Å): 3.808 3.808 29.605
angles (deg): 90.00 90.00 120.00
Element x y z (fractional)
Ca 0.000 0.000 0.000
Ca 0.333 0.667 0.667
Ca 0.667 0.333 0.333
Ac 0.000 0.000 0.500
Ac 0.333 0.667 0.167
Ac 0.667 0.333 0.833
Al 0.000 0.000 0.254
Al 0.000 0.000 0.746
Al 0.333 0.667 0.413
Al 0.333 0.667 0.920
Al 0.667 0.333 0.080
Al 0.667 0.333 0.587

Computed properties:
E in eV for the cell shown: -39.89
SG: R-3m
Total magnetic moment in μB per cell: 0.0

2.
A plane-wave DFT calculation with GGA-PBE was carried out for crystalline CaAcAl at its relaxed geometry.

a b c (Å): 3.827 3.827 13.927
angles (deg): 90.00 90.00 90.00
Element x y z (fractional)
Ca 0.000 0.000 0.000
Ca 0.500 0.500 0.500
Ac 0.000 0.000 0.726
Ac 0.500 0.500 0.226
Al 0.000 0.000 0.370
Al 0.500 0.500 0.870

Computed properties:
E in eV for the cell shown: -20.41
SG: I4mm
Energy above the most stable polymorph in this dataset in eV/atom: 0.085
Total magnetic moment in μB per cell: 0.0

3.
A plane-wave DFT calculation with GGA-PBE was carried out for crystalline Ca4AcAl4 at its relaxed geometry.

a b c (Å): 9.964 9.964 6.232
angles (deg): 90.00 90.00 90.00
Element x y z (fractional)
Ca 0.089 0.651 0.123
Ca 0.151 0.911 0.623
Ca 0.349 0.589 0.623
Ca 0.411 0.849 0.123
Ca 0.589 0.151 0.877
Ca 0.651 0.411 0.377
Ca 0.849 0.089 0.377
Ca 0.911 0.349 0.877
Ac 0.250 0.250 0.250
Ac 0.750 0.750 0.750
Al 0.031 0.600 0.622
Al 0.100 0.969 0.122
Al 0.400 0.531 0.122
Al 0.469 0.900 0.622
Al 0.531 0.100 0.378
Al 0.600 0.469 0.878
Al 0.900 0.031 0.878
Al 0.969 0.400 0.378

Computed properties:
E in eV for the cell shown: -53.96
SG: P4_2/n
Total magnetic moment in μB per cell: 0.0

4.
A plane-wave DFT calculation with GGA-PBE was carried out for crystalline CaAcAl at its relaxed geometry.

a b c (Å): 5.406 5.406 3.955
angles (deg): 90.00 90.00 120.00
Element x y z (fractional)
Ca 0.000 0.000 0.000
Ac 0.667 0.333 0.475
Al 0.333 0.667 0.893

Computed properties:
E in eV for the cell shown: -9.96
SG: P3m1
Energy above the most stable polymorph in this dataset in eV/atom: 0.166
Total magnetic moment in μB per cell: 0.0

5.
A plane-wave DFT calculation with GGA-PBE was carried out for crystalline CaAcAl at its relaxed geometry.

a b c (Å): 5.647 5.647 7.110
angles (deg): 90.00 90.00 120.00
Element x y z (fractional)
Ca 0.000 0.000 0.000
Ca 0.000 0.000 0.500
Ac 0.333 0.667 0.250
Ac 0.667 0.333 0.750
Al 0.333 0.667 0.750
Al 0.667 0.333 0.250

Computed properties:
E in eV for the cell shown: -20.92
SG: P6_3/mmc
Energy above the most stable polymorph in this dataset in eV/atom: 0.000
Total magnetic moment in μB per cell: 0.0

6.
A plane-wave DFT calculation with GGA-PBE was carried out for crystalline Ca2AcAl at its relaxed geometry.

a b c (Å): 3.840 3.840 33.867
angles (deg): 90.00 90.00 120.00
Element x y z (fractional)
Ca 0.000 0.000 0.000
Ca 0.000 0.000 0.198
Ca 0.333 0.667 0.667
Ca 0.333 0.667 0.864
Ca 0.667 0.333 0.333
Ca 0.667 0.333 0.531
Ac 0.000 0.000 0.433
Ac 0.333 0.667 0.100
Ac 0.667 0.333 0.767
Al 0.000 0.000 0.599
Al 0.333 0.667 0.265
Al 0.667 0.333 0.932

Computed properties:
E in eV for the cell shown: -34.99
SG: R3m
Energy above the most stable polymorph in this dataset in eV/atom: 0.103
Total magnetic moment in μB per cell: 0.0

7.
A plane-wave DFT calculation with GGA-PBE was carried out for crystalline Ca2AcAl at its relaxed geometry.

a b c (Å): 5.004 5.004 5.456
angles (deg): 90.00 90.00 90.00
Element x y z (fractional)
Ca 0.000 0.500 0.000
Ca 0.500 0.000 0.000
Ac 0.000 0.000 0.500
Al 0.500 0.500 0.500

Computed properties:
E in eV for the cell shown: -12.05
SG: P4/mmm
Energy above the most stable polymorph in this dataset in eV/atom: 0.006
Total magnetic moment in μB per cell: 0.0

8.
A plane-wave DFT calculation with GGA-PBE was carried out for crystalline CaAc3Al at its relaxed geometry.

a b c (Å): 8.279 8.279 8.279
angles (deg): 90.00 90.00 90.00
Element x y z (fractional)
Ca 0.000 0.000 0.500
Ca 0.000 0.500 0.000
Ca 0.500 0.000 0.000
Ac 0.000 0.000 0.000
Ac 0.272 0.272 0.272
Ac 0.272 0.272 0.728
Ac 0.272 0.728 0.272
Ac 0.272 0.728 0.728
Ac 0.728 0.272 0.272
Ac 0.728 0.272 0.728
Ac 0.728 0.728 0.272
Ac 0.728 0.728 0.728
Al 0.000 0.500 0.500
Al 0.500 0.000 0.500
Al 0.500 0.500 0.000

Computed properties:
E in eV for the cell shown: -53.90
SG: Pm-3m
Total magnetic moment in μB per cell: 0.0